## P
# Dy2Cu2O5

A geometry-optimized Dy2Cu2O5 structure (PBE, Alexandria via LeMat-Bulk).

Computed properties:
For the spin magnetization, the calculation gives 0.47 μB per formula unit.

a b c (Å): 12.488 3.949 4.874
angles (deg): 90.00 111.50 90.00
Space group C2/m (No. 12)
Unique sites:
1 Dy 0.119 0.000 0.403 x4
2 Cu 0.102 0.500 0.900 x4
3 O 0.000 0.500 0.500 x2
4 O 0.090 0.000 0.875 x4
5 O 0.191 0.500 0.308 x4



## Q
# Dy2Cu2O5

A geometry-optimized Dy2Cu2O5 structure (PBE, Alexandria via LeMat-Bulk).

Computed properties:
For the spin magnetization, the calculation gives 2.00 μB per formula unit.

a b c (Å): 10.912 3.534 12.557
angles (deg): 90.00 90.00 90.00
Space group Pna2_1 (No. 33)
Unique sites:
1 Dy 0.043 0.223 0.000 x4
2 Dy 0.207 0.221 0.328 x4
3 Cu 0.012 0.340 0.717 x4
4 Cu 0.238 0.156 0.611 x4
5 O 0.072 0.274 0.566 x4
6 O 0.077 0.727 0.356 x4
7 O 0.125 0.350 0.164 x4
8 O 0.174 0.726 0.972 x4
9 O 0.178 0.220 0.762 x4



## R
# Dy2Cu2O5

A geometry-optimized Dy2Cu2O5 structure (PBE, Alexandria via LeMat-Bulk).

Computed properties:
For the spin magnetization, the calculation gives 0.04 μB per formula unit.

a b c (Å): 6.264 11.216 7.184
angles (deg): 90.00 90.00 90.00
Space group Pnma (No. 62)
Unique sites:
1 Dy 0.250 0.022 0.120 x8
2 Cu 0.071 0.250 0.346 x4
3 Cu 0.089 0.250 0.872 x4
4 O 0.070 0.086 0.857 x8
5 O 0.096 0.088 0.386 x8
6 O 0.245 0.750 0.619 x4



Ranking the structures above from most stable to least stable yields R, Q, P.